The following is a GGA-PBE calculation of crystalline Sr8Mg2Hg at its relaxed geometry, from the Alexandria database.

Results
**Distance to the lowest polymorph of the same formula**: 0.061 eV per atom
**ΔH_f (0 K)**: -0.33 eV per formula unit

Cell: 5.8543 10.2045 9.9778 Å, 120.75 107.06 90.00°
Fractional coordinates of all 11 atoms:
Sr: 0.3419 0.5605 0.6837
Sr: 0.0000 0.6775 0.0000
Sr: 0.6581 0.4395 0.3163
Hg: 0.5000 0.0000 0.0000
Sr: 0.3419 0.1232 0.6837
Sr: 0.0000 0.3225 0.0000
Sr: 0.8708 0.8708 0.7415
Mg: 0.8005 0.3005 0.6010
Mg: 0.1995 0.6995 0.3990
Sr: 0.6581 0.8768 0.3163
Sr: 0.1292 0.1292 0.2585



The following is a GGA-PBE calculation of crystalline ZrFeAu2 at its relaxed geometry, from the Alexandria database.

Results
**ΔH_f (0 K)**: -0.53 eV per formula unit

Cell: 3.9299 3.9291 4.3348 Å, 90.00 90.00 90.00°
Fractional coordinates of all 4 atoms:
Au: 0.5000 0.5000 0.0000
Zr: 0.0000 0.5000 0.5000
Fe: 0.5000 0.0000 0.5000
Au: 0.0000 0.0000 0.0000



The following is a GGA-PBE calculation of crystalline LiMgTa at its relaxed geometry, from the Alexandria database.

Results
**Distance to the lowest polymorph of the same formula**: 1.793 eV per atom
**ΔH_f (0 K)**: 5.62 eV per formula unit

Cell: 3.5529 3.5529 10.9398 Å, 90.00 90.00 120.00°
Fractional coordinates of all 6 atoms:
Li: 0.3333 0.6667 0.2500
Mg: 0.0000 0.0000 0.7500
Ta: 0.0000 0.0000 0.0000
Li: 0.6667 0.3333 0.7500
Mg: 0.0000 0.0000 0.2500
Ta: 0.0000 0.0000 0.5000



The following is a GGA-PBE calculation of crystalline Mg7Zn2Cu3 at its relaxed geometry, from the Alexandria database.

Results
**ΔH_f (0 K)**: 4.17 eV per formula unit

Cell: 9.7282 9.7282 9.7282 Å, 32.79 32.79 32.79°
Fractional coordinates of all 12 atoms:
Zn: 0.6668 0.6668 0.6668
Zn: 0.3332 0.3332 0.3332
Mg: 0.4150 0.9207 0.4150
Cu: 0.1625 0.1625 0.1625
Mg: 0.9207 0.4150 0.4150
Mg: 0.5850 0.0793 0.5850
Mg: 0.5000 0.5000 0.5000
Mg: 0.5850 0.5850 0.0793
Cu: 0.0000 0.0000 0.0000
Mg: 0.4150 0.4150 0.9207
Cu: 0.8375 0.8375 0.8375
Mg: 0.0793 0.5850 0.5850



The following is a GGA-PBE calculation of crystalline CoP2PdS at its relaxed geometry, from the Alexandria database.

Results
**Distance to the lowest polymorph of the same formula**: 0.000 eV per atom
**Formation energy (no corrections)**: 241 kJ/mol of formula units

Cell: 4.1771 4.1771 4.7971 Å, 90.00 90.00 90.00°
Fractional coordinates of all 5 atoms:
Co: 0.0000 0.0000 0.0000
S: 0.0000 0.0000 0.5000
Pd: 0.5000 0.5000 0.5000
P: 0.0000 0.5000 0.0000
P: 0.5000 0.0000 0.0000



The following is a GGA-PBE calculation of crystalline CePm3Y6 at its relaxed geometry, from the Alexandria database.

Results
**ΔH_f (0 K)**: 2.58 eV per formula unit

Cell: 9.9704 9.9704 6.9224 Å, 43.93 43.93 60.00°
Last column: magnetic moment on the atom in μB.
Fractional coordinates of all 10 atoms:
Y: 0.9005 0.5745 0.2985  0.07
Y: 0.0722 0.4006 0.7981  0.09
Ce: 0.8991 0.8991 0.3027  0.65
Pm: 0.3992 0.3992 0.8025  0.03
Pm: 0.6565 0.6565 0.0306  0.14
Y: 0.2265 0.9005 0.2985  0.07
Y: 0.7291 0.0722 0.7981  0.09
Y: 0.4006 0.7291 0.7981  0.09
Y: 0.5745 0.2265 0.2985  0.07
Pm: 0.1418 0.1418 0.5745  0.13



no.,size of the total moment (μB per cell),mass density (g/cm³),DOS at the Fermi energy (states/eV/cell)
1,0.0,3.3,12.44
2,0.0,13.4,0.58
3,0.0,5.9,6.22
4,0.0,3.4,7.00
5,0.0,5.1,3.90
6,2.3,5.6,25.15